Record 1
The following is a DFT calculation (PBE-GGA) of crystalline YZn2Pb at its relaxed geometry.

```
8
Lattice="4.3913 0.0000 0.0000 0.0000 4.3913 0.0000 2.1957 2.1957 10.4479" Properties=species:S:1:pos:R:3 pbc="T T T"
Pb 0.0000 0.0000 0.0000
Pb 4.3913 2.1957 5.2240
Y 2.1957 2.1957 0.0000
Y 2.1957 4.3913 5.2240
Zn 3.3437 1.0978 2.6120
Zn 1.0476 3.2935 2.6120
Zn 3.2935 3.2433 7.8359
Zn 5.4891 5.5393 7.8359
```

Properties
As for the space group: I-42d, No. 122.


Record 2
The following is a DFT calculation (PBE-GGA) of crystalline YZnPb2 at its relaxed geometry.

```
4
Lattice="-1.8707 3.7695 -3.0339 -1.2211 -2.3448 -2.1603 -5.3626 -0.3552 2.8652" Properties=species:S:1:pos:R:3 pbc="T T T"
Pb -6.4172 -2.4203 0.9497
Pb -3.4584 -1.6296 0.1077
Y -2.5813 1.2098 -1.3407
Zn -5.8731 -0.1402 -0.9883
```

Properties
As for the space group: P2/m, No. 10.


Record 3
The following is a DFT calculation (PBE-GGA) of crystalline YZn2Pb at its relaxed geometry.

```
4
Lattice="9.3940 -0.0270 -0.0160 8.7189 3.4970 -0.0160 8.7189 1.6703 3.0724" Properties=species:S:1:pos:R:3 pbc="T T T"
Pb 6.7079 1.2851 0.7601
Y 20.1238 3.8553 2.2803
Zn 0.0670 0.0128 0.0076
Zn 13.3489 2.5573 1.5126
```

Properties
As for the space group: R-3m, No. 166.


Record 4
The following is a DFT calculation (PBE-GGA) of crystalline Y2ZnPb at its relaxed geometry.

```
4
Lattice="3.5754 0.0213 0.0000 -0.0220 3.5754 0.0000 0.0000 0.0000 8.4768" Properties=species:S:1:pos:R:3 pbc="T T T"
Pb 1.7767 1.7983 6.0553
Y 0.0000 0.0000 8.4156
Y 1.7767 1.7983 2.4740
Zn 0.0000 0.0000 4.2472
```

Properties
As for the space group: P4mm, No. 99.


Record 5
The following is a DFT calculation (PBE-GGA) of crystalline YZn2Pb at its relaxed geometry.

```
4
Lattice="-1.5820 -3.1070 0.3797 2.9987 -1.6210 -0.8252 1.9059 -0.1000 7.1224" Properties=species:S:1:pos:R:3 pbc="T T T"
Pb 0.8949 -0.0470 3.3443
Y 2.2075 -2.4427 5.3797
Zn 0.0812 -0.0043 0.3033
Zn 1.0919 -2.3841 1.2108
```

Properties
As for the space group: Cmm2, No. 35.


Record 6
The following is a DFT calculation (PBE-GGA) of crystalline Y2ZnPb at its relaxed geometry.

```
4
Lattice="-1.5061 -0.2602 -3.3347 -2.8455 -1.8629 1.4305 -6.5191 4.6291 2.5831" Properties=species:S:1:pos:R:3 pbc="T T T"
Pb -7.7765 1.9446 1.3428
Y -2.9270 -1.7180 1.4560
Y -4.6008 1.2383 1.9813
Zn -3.0942 0.5615 -0.6640
```

Properties
As for the space group: Pmmm, No. 47.


The evaluated DFT total energy for the records listed, in turn: -3.191, -3.891, -3.132, -4.666, -3.324, -4.885 eV/atom.
The evaluated DFT formation energy for the records listed, in turn: -0.01, -0.10, 0.05, -0.19, -0.14, -0.41 eV/atom.